Record 1
This record from Alexandria describes crystalline PmDyAg2Se4 at its relaxed geometry. The functional is GGA-PBE.

Unit cell a=4.235 b=6.861 c=7.327 alpha=69.55 beta=90.00 gamma=90.00
Fractional coordinates of all 8 atoms:
Ag  0.500  0.000  0.500
Ag  0.000  0.000  0.000
Dy  0.500  0.500  0.000
Se  0.000  0.748  0.758
Se  0.000  0.252  0.242
Se  0.500  0.750  0.246
Se  0.500  0.250  0.754
Pm  0.000  0.500  0.500

calculated total energy	-4.785	eV per atom
magnetization	0.00	μB/cell
density of states at the Fermi level	0.00	states/eV/cell
volume	24.94	Å³ per atom

---

Record 2
This record from Alexandria describes crystalline Ca2CuCl at its relaxed geometry. The functional is GGA-PBE.

Unit cell a=5.327 b=5.327 c=5.327 alpha=60.00 beta=60.00 gamma=60.00
Fractional coordinates of all 4 atoms:
Ca  0.250  0.250  0.250
Ca  0.000  0.000  0.000
Cl  0.500  0.500  0.500
Cu  0.750  0.750  0.750

calculated total energy	-2.533	eV per atom
magnetization	0.00	μB/cell
density of states at the Fermi level	0.96	states/eV/cell
volume	26.73	Å³ per atom
energy above the most stable polymorph in this dataset	0.787	eV per atom

---

Record 3
This record from Alexandria describes crystalline DyEr2CdRh4 at its relaxed geometry. The functional is GGA-PBE.

Unit cell a=4.747 b=4.747 c=8.196 alpha=73.17 beta=73.17 gamma=60.00
Fractional coordinates of all 8 atoms:
Rh  0.122  0.122  0.633
Rh  0.878  0.878  0.367
Rh  0.625  0.625  0.125
Rh  0.375  0.375  0.875
Cd  0.500  0.500  0.500
Dy  0.000  0.000  0.000
Er  0.756  0.756  0.731
Er  0.244  0.244  0.269

calculated total energy	-6.289	eV per atom
formation energy from the elements	-783	meV per atom
magnetization	0.00	μB/cell
density of states at the Fermi level	3.19	states/eV/cell
volume	18.84	Å³ per atom

---

Record 4
This record from Alexandria describes crystalline Pm4In3Ru at its relaxed geometry. The functional is GGA-PBE.

Unit cell a=4.038 b=4.793 c=11.590 alpha=90.00 beta=90.00 gamma=90.00
Fractional coordinates of all 8 atoms:
Pm  0.000  0.500  0.884
Pm  0.500  0.500  0.319
Pm  0.500  0.000  0.655
Pm  0.000  0.000  0.141
In  0.000  0.000  0.419
In  0.500  0.000  0.932
In  0.000  0.500  0.578
Ru  0.500  0.500  0.072

calculated total energy	-4.927	eV per atom
formation energy from the elements	-365	meV per atom
magnetization	0.00	μB/cell
density of states at the Fermi level	7.31	states/eV/cell
volume	28.04	Å³ per atom
energy above the most stable polymorph in this dataset	0.048	eV per atom